(1)
This record from Alexandria describes a relaxed structure of ZnAg2Pb. The functional is PBE-GGA.

formation enthalpy at 0 K	0.13	eV per atom
mass density	9.9	g/cm³
symmetry	I4/mmm

The structure in POSCAR format:
```
ZnAg2Pb
1.0
5.318 -0.056 0.000
1.845 4.987 0.000
-3.581 -2.466 3.062
Zn Ag Pb
1 2 1
Direct
0.750 0.250 0.500 Zn
0.500 0.500 0.000 Ag
0.000 0.000 0.000 Ag
0.250 0.750 0.500 Pb
```

(2)
This record from Alexandria describes a relaxed structure of Zn2AgPb. The functional is PBE-GGA.

formation enthalpy at 0 K	0.12	eV per atom
mass density	8.5	g/cm³
symmetry	P2/m

The structure in POSCAR format:
```
Zn2AgPb
1.0
-4.039 -1.411 1.920
-1.505 -0.123 -3.256
1.484 -4.939 -0.508
Pb Zn Ag
1 2 1
Direct
0.500 0.750 0.750 Pb
0.000 0.248 0.999 Zn
0.000 0.252 0.501 Zn
0.500 0.250 0.250 Ag
```

(3)
This record from Alexandria describes a relaxed structure of ZnAg2Pb. The functional is PBE-GGA.

formation enthalpy at 0 K	0.12	eV per atom
mass density	9.8	g/cm³
symmetry	R-3m

The structure in POSCAR format:
```
ZnAg2Pb
1.0
-2.162 -9.334 0.369
-0.245 -9.335 -2.178
0.999 -9.507 0.753
Zn Ag Pb
1 2 1
Direct
0.750 0.750 0.750 Zn
0.490 0.490 0.490 Ag
0.010 0.010 0.010 Ag
0.250 0.250 0.250 Pb
```

(4)
This record from Alexandria describes a relaxed structure of ZnAg2Pb. The functional is PBE-GGA.

formation enthalpy at 0 K	0.17	eV per atom
mass density	9.8	g/cm³
symmetry	Fm-3m

The structure in POSCAR format:
```
ZnAg2Pb
1.0
0.000 3.461 3.461
3.461 0.000 3.461
3.461 3.461 0.000
Ag Pb Zn
2 1 1
Direct
0.250 0.250 0.250 Ag
0.750 0.750 0.750 Ag
0.500 0.500 0.500 Pb
0.000 0.000 0.000 Zn
```

(5)
This record from Alexandria describes a relaxed structure of ZnAg2Pb. The functional is PBE-GGA.

formation enthalpy at 0 K	0.11	eV per atom
mass density	9.7	g/cm³
symmetry	P2/m

The structure in POSCAR format:
```
ZnAg2Pb
1.0
-0.033 -2.915 3.469
-2.013 -1.897 -1.613
3.574 -3.623 -3.011
Zn Pb Ag
1 1 2
Direct
0.500 0.750 0.750 Zn
0.500 0.250 0.250 Pb
0.000 0.589 0.535 Ag
0.000 0.911 0.965 Ag
```

(6)
This record from Alexandria describes a relaxed structure of ZnAg2Pb. The functional is PBE-GGA.

formation enthalpy at 0 K	0.14	eV per atom
mass density	9.7	g/cm³
symmetry	R3m

The structure in POSCAR format:
```
ZnAg2Pb
1.0
-2.097 2.799 9.097
-4.814 1.326 8.370
-2.343 -0.346 9.454
Ag Pb Zn
2 1 1
Direct
0.002 0.002 0.002 Ag
0.258 0.258 0.258 Ag
0.500 0.500 0.500 Pb
0.740 0.740 0.740 Zn
```